Entry 1:
Computed, not measured: LaSnHgPb after structural relaxation at the PBE-GGA level of DFT.

Summary:
Formation enthalpy at 0 K: -0.37 eV per atom
Excess energy over the best structure of this formula in the dataset: 0.125 eV per atom
Uncorrected energy: -57.6 eV/cell

Cell: 7.789 7.789 7.789 Å, 90.00 90.00 90.00°
Space group F-43m (No. 216)
Symmetry-distinct sites (fractional):
La  0.000  0.000  0.000
Sn  0.250  0.250  0.250
Hg  0.250  0.250  0.750
Pb  0.000  0.000  0.500

Entry 2:
Computed, not measured: SrLa2Hg2Pb2 after structural relaxation at the PBE-GGA level of DFT.

Summary:
Formation enthalpy at 0 K: -0.35 eV per atom
Uncorrected energy: -66.0 eV/cell

Cell: 5.2361 5.2361 29.0168 Å, 90.00 90.00 120.00°
Space group R-3m (No. 166, hexagonal axes)
Symmetry-distinct sites (fractional):
Sr  0.0000  0.0000  0.0000
La  0.0000  0.0000  0.1344
Hg  0.0000  0.0000  0.4350
Pb  0.0000  0.0000  0.2639

Entry 3:
Computed, not measured: LaTbHgPb after structural relaxation at the PBE-GGA level of DFT.

Summary:
Formation enthalpy at 0 K: -0.50 eV per atom
Uncorrected energy: -62.3 eV/cell

Cell: 7.751 7.751 7.751 Å, 90.00 90.00 90.00°
Space group F-43m (No. 216)
Symmetry-distinct sites (fractional):
La  0.000  0.000  0.000
Tb  0.000  0.000  0.500
Hg  0.250  0.250  0.250
Pb  0.250  0.250  0.750

Entry 4:
Computed, not measured: LaTc2HgPb after structural relaxation at the PBE-GGA level of DFT.

Summary:
Formation enthalpy at 0 K: 1.26 eV per atom
Uncorrected energy: -23.4 eV/cell

Cell: 5.147 5.147 5.376 Å, 90.00 90.00 90.00°
Space group P4/mmm (No. 123)
Symmetry-distinct sites (fractional):
La  0.000  0.000  0.000
Tc  0.000  0.500  0.500
Hg  0.500  0.500  0.000
Pb  0.500  0.500  0.500

Entry 5:
Computed, not measured: LaThHgPb after structural relaxation at the PBE-GGA level of DFT.

Summary:
Formation enthalpy at 0 K: -0.34 eV per atom
Uncorrected energy: -70.9 eV/cell

Cell: 7.842 7.842 7.842 Å, 90.00 90.00 90.00°
Space group F-43m (No. 216)
Symmetry-distinct sites (fractional):
La  0.000  0.000  0.000
Th  0.000  0.000  0.500
Hg  0.250  0.250  0.750
Pb  0.250  0.250  0.250

Entry 6:
Computed, not measured: La2TiHgPb after structural relaxation at the PBE-GGA level of DFT.

Summary:
Formation enthalpy at 0 K: 0.28 eV per atom
Uncorrected energy: -20.4 eV/cell

Cell: 5.869 5.869 5.125 Å, 90.00 90.00 90.00°
Space group P4/mmm (No. 123)
Symmetry-distinct sites (fractional):
La  0.000  0.500  0.000
Ti  0.000  0.000  0.500
Hg  0.000  0.000  0.000
Pb  0.500  0.500  0.500

Entry 7:
Computed, not measured: LaTiHg2Pb after structural relaxation at the PBE-GGA level of DFT.

Summary:
Formation enthalpy at 0 K: 0.31 eV per atom
Uncorrected energy: -15.6 eV/cell

Cell: 5.348 5.348 5.261 Å, 90.00 90.00 90.00°
Space group P4/mmm (No. 123)
Symmetry-distinct sites (fractional):
La  0.000  0.000  0.000
Ti  0.000  0.000  0.500
Hg  0.000  0.500  0.500
Pb  0.500  0.500  0.000

Entry 8:
Computed, not measured: La4TlHgPb2 after structural relaxation at the PBE-GGA level of DFT.

Summary:
Formation enthalpy at 0 K: -0.53 eV per atom
Uncorrected energy: -102.0 eV/cell

Cell: 5.6318 5.6318 27.5146 Å, 90.00 90.00 120.00°
Space group R-3m (No. 166, hexagonal axes)
Symmetry-distinct sites (fractional):
La  0.0000  0.0000  0.1246
La  0.0000  0.0000  0.3748
Tl  0.0000  0.0000  0.5000
Hg  0.0000  0.0000  0.0000
Pb  0.0000  0.0000  0.2513

Entry 9:
Computed, not measured: LaTlHgPb after structural relaxation at the PBE-GGA level of DFT.

Summary:
Formation enthalpy at 0 K: -0.42 eV per atom
Excess energy over the best structure of this formula in the dataset: 0.000 eV per atom
Uncorrected energy: -13.0 eV/cell

Cell: 4.785 4.808 4.990 Å, 90.00 90.00 90.00°
Space group Pmmm (No. 47)
Symmetry-distinct sites (fractional):
La  0.000  0.000  0.000
Tl  0.500  0.000  0.500
Hg  0.000  0.500  0.500
Pb  0.500  0.500  0.000

Entry 10:
Computed, not measured: LaTlHgPb after structural relaxation at the PBE-GGA level of DFT.

Summary:
Formation enthalpy at 0 K: -0.33 eV per atom
Excess energy over the best structure of this formula in the dataset: 0.088 eV per atom
Uncorrected energy: -50.5 eV/cell

Cell: 7.762 7.762 7.762 Å, 90.00 90.00 90.00°
Space group F-43m (No. 216)
Symmetry-distinct sites (fractional):
La  0.000  0.000  0.000
Tl  0.250  0.250  0.750
Hg  0.250  0.250  0.250
Pb  0.000  0.000  0.500

Entry 11:
Computed, not measured: LaTmHgPb after structural relaxation at the PBE-GGA level of DFT.

Summary:
Formation enthalpy at 0 K: -0.47 eV per atom
Uncorrected energy: -61.1 eV/cell

Cell: 7.701 7.701 7.701 Å, 90.00 90.00 90.00°
Space group F-43m (No. 216)
Symmetry-distinct sites (fractional):
La  0.000  0.000  0.000
Tm  0.000  0.000  0.500
Hg  0.250  0.250  0.750
Pb  0.250  0.250  0.250

Entry 12:
Computed, not measured: LaTm2Hg2Pb2 after structural relaxation at the PBE-GGA level of DFT.

Summary:
Formation enthalpy at 0 K: -0.26 eV per atom
Uncorrected energy: -71.1 eV/cell

Cell: 5.1027 5.1027 26.7447 Å, 90.00 90.00 120.00°
Space group R-3m (No. 166, hexagonal axes)
Symmetry-distinct sites (fractional):
La  0.0000  0.0000  0.0000
Tm  0.0000  0.0000  0.1327
Hg  0.0000  0.0000  0.4388
Pb  0.0000  0.0000  0.2675

Entry 13:
Computed, not measured: LaYHgPb after structural relaxation at the PBE-GGA level of DFT.

Summary:
Formation enthalpy at 0 K: -0.52 eV per atom
Uncorrected energy: -69.9 eV/cell

Cell: 7.745 7.745 7.745 Å, 90.00 90.00 90.00°
Space group F-43m (No. 216)
Symmetry-distinct sites (fractional):
La  0.000  0.000  0.000
Y  0.000  0.000  0.500
Hg  0.250  0.250  0.750
Pb  0.250  0.250  0.250

Entry 14:
Computed, not measured: La6HgPd2 after structural relaxation at the PBE-GGA level of DFT.

Summary:
Formation enthalpy at 0 K: -0.47 eV per atom
Excess energy over the best structure of this formula in the dataset: 0.000 eV per atom
Uncorrected energy: -178.0 eV/cell

Cell: 9.843 10.353 10.893 Å, 90.00 90.00 90.00°
Space group Immm (No. 71)
Symmetry-distinct sites (fractional):
La  0.000  0.192  0.240
La  0.196  0.500  0.171
La  0.213  0.323  0.500
Hg  0.000  0.000  0.000
Hg  0.000  0.000  0.500
Pd  0.000  0.347  0.000
Pd  0.000  0.500  0.369

Entry 15:
Computed, not measured: La2HgPd6 after structural relaxation at the PBE-GGA level of DFT.

Summary:
Formation enthalpy at 0 K: -0.66 eV per atom
Uncorrected energy: -47.3 eV/cell

Cell: 5.8098 5.8098 6.3250 Å, 90.00 90.00 120.00°
Space group P-3m1 (No. 164)
Symmetry-distinct sites (fractional):
La  0.3333  0.6667  0.2999
Hg  0.0000  0.0000  0.5000
Pd  0.1750  0.3500  0.8280

Entry 16:
Computed, not measured: LaHg2Pd after structural relaxation at the PBE-GGA level of DFT.

Summary:
Formation enthalpy at 0 K: -0.38 eV per atom
Uncorrected energy: -12.3 eV/cell

Cell: 3.682 3.682 6.951 Å, 90.00 90.00 90.00°
Space group P4/mmm (No. 123)
Symmetry-distinct sites (fractional):
La  0.000  0.000  0.000
Hg  0.500  0.500  0.292
Pd  0.000  0.000  0.500

Entry 17:
Computed, not measured: LaHg2Pd after structural relaxation at the PBE-GGA level of DFT.

Summary:
Formation enthalpy at 0 K: -0.33 eV per atom
Uncorrected energy: -48.1 eV/cell

Cell: 4.288 4.288 22.498 Å, 90.00 90.00 90.00°
Space group I-42d (No. 122)
Symmetry-distinct sites (fractional):
La  0.000  0.000  0.000
Hg  0.226  0.250  0.625
Pd  0.000  0.000  0.500

Entry 18:
Computed, not measured: La3HgPd3 after structural relaxation at the PBE-GGA level of DFT.

Summary:
Formation enthalpy at 0 K: -0.59 eV per atom
Uncorrected energy: -69.6 eV/cell

Cell: 9.0644 9.0644 5.8348 Å, 90.00 90.00 120.00°
Space group P6_3/m (No. 176)
Symmetry-distinct sites (fractional):
La  0.0421  0.6843  0.2500
Hg  0.3333  0.6667  0.7500
Pd  0.0320  0.6851  0.7500

Entry 19:
Computed, not measured: La6Hg3Pd after structural relaxation at the PBE-GGA level of DFT.

Summary:
Formation enthalpy at 0 K: -0.43 eV per atom
Uncorrected energy: -79.9 eV/cell

Cell: 9.361 5.510 12.069 Å, 90.00 106.96 90.00°
Space group P2_1/m (No. 11)
Symmetry-distinct sites (fractional):
La  0.007  0.250  0.408
La  0.162  0.750  0.166
La  0.283  0.250  0.999
La  0.359  0.750  0.844
La  0.380  0.250  0.352
La  0.402  0.250  0.625
Hg  0.018  0.750  0.872
Hg  0.114  0.250  0.719
Hg  0.267  0.750  0.463
Pd  0.455  0.750  0.118

Entry 20:
Computed, not measured: La2HgPd2 after structural relaxation at the PBE-GGA level of DFT.

Summary:
Formation enthalpy at 0 K: -0.65 eV per atom
Uncorrected energy: -47.6 eV/cell

Cell: 5.676 5.676 8.288 Å, 90.00 90.00 90.00°
Space group I4/mmm (No. 139)
Symmetry-distinct sites (fractional):
La  0.000  0.500  0.250
Hg  0.000  0.000  0.000
Pd  0.000  0.000  0.344

Entry 21:
Computed, not measured: La6Hg5Pd after structural relaxation at the PBE-GGA level of DFT.

Summary:
Formation enthalpy at 0 K: -0.54 eV per atom
Uncorrected energy: -85.5 eV/cell

Cell: 17.210 7.782 5.459 Å, 90.00 108.34 90.00°
Space group C2/m (No. 12)
Symmetry-distinct sites (fractional):
La  0.000  0.231  0.000
La  0.158  0.237  0.658
Hg  0.000  0.500  0.500
Hg  0.167  0.500  0.167
Hg  0.182  0.000  0.182
Pd  0.000  0.000  0.500

Entry 22:
Computed, not measured: La7Hg2Pd2 after structural relaxation at the PBE-GGA level of DFT.

Summary:
Formation enthalpy at 0 K: -0.35 eV per atom
Uncorrected energy: -98.6 eV/cell

Cell: 8.355 11.601 7.388 Å, 90.00 90.00 90.00°
Space group Cmmm (No. 65)
Symmetry-distinct sites (fractional):
La  0.000  0.000  0.000
La  0.000  0.500  0.257
La  0.250  0.250  0.267
Hg  0.172  0.000  0.500
Pd  0.000  0.289  0.000

Entry 23:
Computed, not measured: La3HgPd after structural relaxation at the PBE-GGA level of DFT.

Summary:
Formation enthalpy at 0 K: -0.48 eV per atom
Excess energy over the best structure of this formula in the dataset: 0.000 eV per atom
Uncorrected energy: -90.8 eV/cell

Cell: 9.799 7.141 9.595 Å, 90.00 120.09 90.00°
Space group C2/m (No. 12)
Symmetry-distinct sites (fractional):
La  0.090  0.000  0.292
La  0.207  0.500  0.903
La  0.208  0.500  0.311
Hg  0.000  0.298  0.500
Pd  0.000  0.277  0.000

Entry 24:
Computed, not measured: LaHgPd6 after structural relaxation at the PBE-GGA level of DFT.

Summary:
Formation enthalpy at 0 K: -0.29 eV per atom
Excess energy over the best structure of this formula in the dataset: 0.175 eV per atom
Uncorrected energy: -38.7 eV/cell

Cell: 5.271 5.271 5.271 Å, 90.00 90.00 90.00°
Space group Pm-3 (No. 200)
Symmetry-distinct sites (fractional):
La  0.000  0.000  0.000
Hg  0.500  0.500  0.500
Pd  0.000  0.254  0.500